# 1
Density functional theory data (PBE-GGA) for an optimized crystal structure of TaCuTe2I.

The value obtained for the calculated volume is 26.11 Å³ per atom. The value obtained for the excess energy over the best structure of this formula in the dataset is 492 meV/atom. The uncorrected formation energy comes out at 1077 meV/atom. The value obtained for the total energy is -3.679 eV/atom. The value obtained for the total magnetization is 0.00 μB per formula unit.

a b c (Å): 5.079 5.079 5.061
angles (deg): 90.00 90.00 90.00
Space group P4/mmm (No. 123)
Unique sites:
1 Ta 0.000 0.000 0.000 [1 per cell]
2 Cu 0.500 0.500 0.500 [1 per cell]
3 Te 0.000 0.500 0.500 [2 per cell]
4 I 0.500 0.500 0.000 [1 per cell]



# 2
Density functional theory data (PBE-GGA) for an optimized crystal structure of Sr2LaAuN.

The value obtained for the calculated volume is 27.40 Å³ per atom. The uncorrected formation energy comes out at -652 meV/atom. The value obtained for the total energy is -4.631 eV/atom. The value obtained for the total magnetization is 0.00 μB per formula unit.

a b c (Å): 5.292 5.292 4.891
angles (deg): 90.00 90.00 90.00
Space group P4/mmm (No. 123)
Unique sites:
1 Sr 0.000 0.500 0.000 [2 per cell]
2 La 0.000 0.000 0.500 [1 per cell]
3 Au 0.500 0.500 0.500 [1 per cell]
4 N 0.000 0.000 0.000 [1 per cell]